MgTlAs2O6: optimized geometry, GGA-PBE.

Calculated values
- uncorrected formation energy (meV/atom) = -1364

Cell lengths 7.823, 7.823, 6.454 Å; angles 108.60, 108.60, 89.29 degrees
Fractional positions:
Mg  0.227  0.773  0.750
Mg  0.773  0.227  0.250
Tl  0.134  0.866  0.250
Tl  0.866  0.134  0.750
As  0.226  0.372  0.381
As  0.372  0.226  0.881
As  0.628  0.774  0.119
As  0.774  0.628  0.619
O  0.020  0.243  0.228
O  0.199  0.600  0.440
O  0.243  0.020  0.728
O  0.310  0.360  0.690
O  0.360  0.310  0.190
O  0.400  0.801  0.060
O  0.600  0.199  0.940
O  0.640  0.690  0.810
O  0.690  0.640  0.310
O  0.757  0.980  0.272
O  0.801  0.400  0.560
O  0.980  0.757  0.772